First-principles (PBE) data for a geometry-optimized Li9Ac3Au2 structure, as listed in Alexandria.

```
data_Li9Ac3Au2
_space_group_name_H-M_alt 'I m m m'
_space_group_IT_number 71
_space_group_name_Hall '-I 2 2'
_cell_length_a 4.805
_cell_length_b 10.456
_cell_length_c 13.345
_cell_angle_alpha 90.00
_cell_angle_beta 90.00
_cell_angle_gamma 90.00
loop_
_atom_site_label
_atom_site_fract_x
_atom_site_fract_y
_atom_site_fract_z
Li1 0.000 0.000 0.000
Li2 0.000 0.154 0.324
Li3 0.000 0.222 0.110
Ac1 0.000 0.500 0.000
Ac2 0.000 0.500 0.325
Au1 0.000 0.280 0.500
```

## Properties
Crystal system = orthorhombic

First-principles (PBE) data for a geometry-optimized Li5Ac2Au4 structure, as listed in Alexandria.

```
data_Li5Ac2Au4
_space_group_name_H-M_alt 'C 1 2/m 1'
_space_group_IT_number 12
_cell_length_a 13.657
_cell_length_b 5.498
_cell_length_c 8.387
_cell_angle_alpha 90.00
_cell_angle_beta 124.59
_cell_angle_gamma 90.00
loop_
_space_group_symop_operation_xyz
'x,y,z'
'-x,-y,-z'
'-x,y,-z'
'x,-y,z'
'x+1/2,y+1/2,z'
'-x+1/2,-y+1/2,-z'
'-x+1/2,y+1/2,-z'
'x+1/2,-y+1/2,z'
loop_
_atom_site_label
_atom_site_fract_x
_atom_site_fract_y
_atom_site_fract_z
Li1 0.000 0.000 0.000
Li2 0.050 0.255 0.743
Ac1 0.222 0.500 0.274
Au1 0.125 0.500 0.541
Au2 0.213 0.000 0.044
```

## Properties
Energy above the most stable polymorph in this dataset = 0.035 eV/atom
Crystal system = monoclinic

First-principles (PBE) data for a geometry-optimized Li5AcAu3 structure, as listed in Alexandria.

```
data_Li5AcAu3
_space_group_name_H-M_alt 'C m c m'
_space_group_IT_number 63
_space_group_name_Hall '-C 2c 2'
_cell_length_a 4.162
_cell_length_b 13.692
_cell_length_c 12.764
_cell_angle_alpha 90.00
_cell_angle_beta 90.00
_cell_angle_gamma 90.00
loop_
_atom_site_label
_atom_site_fract_x
_atom_site_fract_y
_atom_site_fract_z
Li1 0.000 0.000 0.000
Li2 0.000 0.198 0.048
Li3 0.000 0.430 0.643
Ac1 0.000 0.164 0.750
Au1 0.000 0.144 0.250
Au2 0.000 0.390 0.063
```

## Properties
Crystal system = orthorhombic

Number 1: E -2.756 eV per atom, ΔH_f (0 K) -177.1 meV/atom. Number 2: E -3.308 eV per atom, ΔH_f (0 K) -499.6 meV/atom. Number 3: E -3.117 eV per atom, ΔH_f (0 K) -504.7 meV/atom.